A plane-wave DFT calculation with PBE-GGA was carried out for an optimized crystal structure of BaAlW2.

Unit cell a=5.8739 b=5.8739 c=2.8715 alpha=78.99 beta=78.99 gamma=118.28
With the nearest neighbours (Å) after each atom.
Sites, in units of the cell vectors:
Al1 0.5000 0.0000 0.5000  2 Al 2.87, 4 W 3.01, 2 Ba 3.01
W1 0.5000 0.5000 0.0000  4 W 2.87-3.01, 2 Ba 3.01, 2 Al 3.01
W2 0.0000 0.0000 0.0000  4 W 2.87-3.01, 2 Al 3.01, 2 Ba 3.01
Ba1 0.0000 0.5000 0.5000  2 Ba 2.87, 4 W 3.01, 2 Al 3.01

## Properties
Uncorrected energy = -6.599 eV per atom
SG = C2/m
Density = 10.9 g/cm³

***

A plane-wave DFT calculation with PBE-GGA was carried out for an optimized crystal structure of Tm6BiSb5.

Unit cell a=7.5366 b=7.5411 c=7.5393 alpha=59.99 beta=80.41 gamma=70.54
With the nearest neighbours (Å) after each atom.
Sites, in units of the cell vectors:
Sb1 0.0000 0.3330 0.3339  6 Tm 3.07-3.08
Sb2 0.5000 0.1652 0.6697  6 Tm 3.06-3.08
Sb3 0.5000 0.8348 0.3303  6 Tm 3.06-3.08
Sb4 0.0000 0.6670 0.6661  6 Tm 3.07-3.08
Sb5 0.5000 0.5000 0.0000  6 Tm 3.05-3.08
Bi1 0.0000 0.0000 0.0000  6 Tm 3.11
Tm1 0.7474 0.4217 0.6626  5 Sb 3.06-3.08, 1 Bi 3.11
Tm2 0.2526 0.9157 0.6626  5 Sb 3.06-3.08, 1 Bi 3.11
Tm3 0.2526 0.5783 0.3374  5 Sb 3.06-3.08, 1 Bi 3.11
Tm4 0.7474 0.0843 0.3374  5 Sb 3.06-3.08, 1 Bi 3.11
Tm5 0.7491 0.7461 0.0000  5 Sb 3.05-3.07, 1 Bi 3.11
Tm6 0.2509 0.2539 0.0000  5 Sb 3.05-3.07, 1 Bi 3.11

## Properties
Uncorrected energy = -5.296 eV per atom
SG = C2/m
Density = 8.7 g/cm³
ΔE_f (raw) = -12.23 eV per formula unit

***

A plane-wave DFT calculation with PBE-GGA was carried out for an optimized crystal structure of BPSeCl2.

Unit cell a=4.0820 b=4.0820 c=5.1002 alpha=90.00 beta=90.00 gamma=90.00
With the nearest neighbours (Å) after each atom.
Sites, in units of the cell vectors:
Se1 0.5000 0.5000 0.5000  4 P 2.89
Cl1 0.0000 0.5000 0.0000  2 B 2.04
Cl2 0.5000 0.0000 0.0000  2 B 2.04
P1 0.0000 0.0000 0.5000  2 B 2.55
B1 0.0000 0.0000 0.0000  4 Cl 2.04

## Properties
Uncorrected energy = -3.158 eV per atom
SG = P4/mmm
Density = 3.7 g/cm³
ΔE_f (raw) = 3.48 eV per formula unit

***

A plane-wave DFT calculation with PBE-GGA was carried out for an optimized crystal structure of Mn2ReTc.

Unit cell a=4.9871 b=4.9871 c=4.9871 alpha=145.05 beta=130.39 gamma=62.12
With the nearest neighbours (Å) after each atom.
Sites, in units of the cell vectors:
Mn1 0.7544 0.2544 0.5000  2 Mn 2.55, 4 Tc 2.57, 2 Re 2.61
Mn2 0.9957 0.9957 0.0000  2 Mn 2.55, 4 Re 2.57, 2 Tc 2.61
Re1 0.5040 0.5040 0.0000  6 Mn 2.57-2.61, 2 Tc 2.66
Tc1 0.2460 0.7460 0.5000  6 Mn 2.57-2.61, 2 Re 2.66

## Properties
Uncorrected energy = -10.187 eV per atom
SG = Imm2
Density = 12.2 g/cm³

***

A plane-wave DFT calculation with PBE-GGA was carried out for an optimized crystal structure of MgBeRe2.

Unit cell a=4.9650 b=4.9650 c=4.9650 alpha=136.49 beta=136.49 gamma=63.22
With the nearest neighbours (Å) after each atom.
Sites, in units of the cell vectors:
Mg1 0.7500 0.2500 0.5000  4 Be 2.60, 8 Re 2.80
Be1 0.2500 0.7500 0.5000  4 Mg 2.60, 8 Re 2.80
Re1 0.5000 0.5000 0.0000  4 Re 2.60, 4 Be 2.80, 4 Mg 2.80
Re2 0.0000 0.0000 0.0000  4 Re 2.60, 4 Mg 2.80, 4 Be 2.80

## Properties
Uncorrected energy = -7.159 eV per atom
SG = I4/mmm
Density = 11.8 g/cm³

***

A plane-wave DFT calculation with PBE-GGA was carried out for an optimized crystal structure of CaEuZnNi.

Unit cell a=5.0756 b=5.0756 c=5.0756 alpha=60.00 beta=60.00 gamma=60.00
With the nearest neighbours (Å) after each atom.
Sites, in units of the cell vectors:
Ca1 0.0000 0.0000 0.0000  4 Ni 3.11, 4 Zn 3.11
Zn1 0.2500 0.2500 0.2500  4 Ca 3.11, 4 Eu 3.11
Ni1 0.7500 0.7500 0.7500  4 Ca 3.11, 4 Eu 3.11
Eu1 0.5000 0.5000 0.5000  4 Ni 3.11, 4 Zn 3.11

## Properties
Uncorrected energy = -4.933 eV per atom
SG = F-43m
Density = 5.7 g/cm³

***

A plane-wave DFT calculation with PBE-GGA was carried out for an optimized crystal structure of LiHo3Se4.

Unit cell a=5.6785 b=8.3146 c=9.2185 alpha=90.00 beta=90.00 gamma=90.00
With the nearest neighbours (Å) after each atom.
Sites, in units of the cell vectors:
Ho1 0.0641 0.2365 0.5000  5 Se 2.82-2.85
Ho2 0.5641 0.3404 0.7837  5 Se 2.81-2.84
Ho3 0.5641 0.7635 0.0000  5 Se 2.82-2.85
Ho4 0.0641 0.6596 0.7163  5 Se 2.81-2.84
Ho5 0.5641 0.3404 0.2163  5 Se 2.81-2.84
Ho6 0.0641 0.6596 0.2837  5 Se 2.81-2.84
Se1 0.5643 0.1023 0.0000  3 Ho 2.81-2.82, 2 Li 2.83-2.85
Se2 0.5641 0.2117 0.5000  1 Li 2.69, 4 Ho 2.83-2.85
Se3 0.0641 0.3319 0.2069  1 Li 2.64, 4 Ho 2.82-2.84
Se4 0.0641 0.3319 0.7931  1 Li 2.64, 4 Ho 2.82-2.84
Se5 0.5641 0.6681 0.7069  1 Li 2.64, 4 Ho 2.82-2.84
Se6 0.0641 0.7883 0.0000  1 Li 2.69, 4 Ho 2.83-2.85
Se7 0.0643 0.8977 0.5000  3 Ho 2.81-2.82, 2 Li 2.83-2.85
Se8 0.5641 0.6681 0.2931  1 Li 2.64, 4 Ho 2.82-2.84
Li1 0.5664 0.8883 0.5000  5 Se 2.64-2.85
Li2 0.0664 0.1117 0.0000  5 Se 2.64-2.85

## Properties
Uncorrected energy = -5.259 eV per atom
SG = Pmn2_1
Density = 6.2 g/cm³
ΔE_f (raw) = -12.48 eV per formula unit

***

A plane-wave DFT calculation with PBE-GGA was carried out for an optimized crystal structure of NbZn3N4.

Unit cell a=4.6615 b=4.6615 c=5.7537 alpha=113.90 beta=113.90 gamma=90.00
With the nearest neighbours (Å) after each atom.
Sites, in units of the cell vectors:
N1 0.1215 0.6356 0.7571  1 Nb 1.97, 3 Zn 2.05
N2 0.6356 0.1215 0.7571  1 Nb 1.97, 3 Zn 2.05
N3 0.3644 0.3644 0.2429  1 Nb 1.97, 3 Zn 2.05
N4 0.8785 0.8785 0.2429  1 Nb 1.97, 3 Zn 2.05
Nb1 0.0000 0.0000 0.0000  4 N 1.97
Zn1 0.7500 0.2500 0.5000  4 N 2.05
Zn2 0.5000 0.5000 0.0000  4 N 2.05
Zn3 0.2500 0.7500 0.5000  4 N 2.05

## Properties
Uncorrected energy = -6.039 eV per atom
SG = I-42m
Density = 5.6 g/cm³
ΔE_f (raw) = -1.12 eV per formula unit

***

A plane-wave DFT calculation with PBE-GGA was carried out for an optimized crystal structure of Na3FePd.

Unit cell a=5.3741 b=5.3741 c=5.3741 alpha=90.00 beta=90.00 gamma=90.00
With the nearest neighbours (Å) after each atom.
Sites, in units of the cell vectors:
Na1 0.0000 0.0000 0.5000  2 Pd 2.69
Na2 0.0000 0.5000 0.0000  2 Pd 2.69
Na3 0.5000 0.0000 0.0000  2 Pd 2.69
Fe1 0.5000 0.5000 0.5000  12 Na 3.80
Pd1 0.0000 0.0000 0.0000  6 Na 2.69

## Properties
Uncorrected energy = -2.724 eV per atom
SG = Pm-3m
Density = 2.5 g/cm³

***

A plane-wave DFT calculation with PBE-GGA was carried out for an optimized crystal structure of YInSn2.

Unit cell a=4.6226 b=4.6226 c=6.9240 alpha=70.50 beta=70.50 gamma=60.00
With the nearest neighbours (Å) after each atom.
Sites, in units of the cell vectors:
Sn1 0.0864 0.0864 0.7409  3 In 3.04, 1 Sn 3.11, 3 Y 3.11
Sn2 0.2487 0.2487 0.2538  1 Sn 3.11, 3 In 3.14, 3 Y 3.15
In1 0.4956 0.4956 0.5132  6 Sn 3.04-3.14, 1 Y 3.33
Y1 0.6693 0.6693 0.9921  6 Sn 3.11-3.15, 1 In 3.33

## Properties
Uncorrected energy = -4.524 eV per atom
SG = R3m
Density = 6.2 g/cm³

***

A plane-wave DFT calculation with PBE-GGA was carried out for an optimized crystal structure of Rb2LaAuF6.

Unit cell a=7.2803 b=7.2803 c=6.7941 alpha=57.60 beta=57.60 gamma=90.00
With the nearest neighbours (Å) after each atom.
Sites, in units of the cell vectors:
Rb1 0.2500 0.7500 0.5000  12 F 3.41-3.64
Rb2 0.7500 0.2500 0.5000  12 F 3.41-3.64
F1 0.2344 0.2344 0.5312  1 Au 2.08
F2 0.7216 0.7216 0.0000  1 La 2.28
F3 0.2784 0.7216 0.0000  1 La 2.28
F4 0.2784 0.2784 0.0000  1 La 2.28
F5 0.7216 0.2784 0.0000  1 La 2.28
F6 0.7656 0.7656 0.4688  1 Au 2.08
Au1 0.0000 0.0000 0.0000  2 F 2.08
La1 0.5000 0.5000 0.0000  6 F 2.28-2.36

## Properties
Uncorrected energy = -4.882 eV per atom
SG = I4/mmm
Density = 4.4 g/cm³
ΔE_f (raw) = -27.45 eV per formula unit

***

A plane-wave DFT calculation with PBE-GGA was carried out for an optimized crystal structure of YTa2BiAs.

Unit cell a=4.8069 b=5.4334 c=4.8069 alpha=90.00 beta=90.00 gamma=90.00
With the nearest neighbours (Å) after each atom.
Sites, in units of the cell vectors:
As1 0.0000 0.0000 0.0000  4 Ta 2.40
Bi1 0.5000 0.5000 0.5000  4 Y 3.40, 8 Ta 3.63
Ta1 0.0000 0.0000 0.5000  2 As 2.40
Ta2 0.5000 0.0000 0.0000  2 As 2.40
Y1 0.0000 0.5000 0.0000  2 As 2.72

## Properties
Uncorrected energy = -7.331 eV per atom
SG = P4/mmm
Density = 9.7 g/cm³

***

A plane-wave DFT calculation with PBE-GGA was carried out for an optimized crystal structure of CdSiP2O.

Unit cell a=5.0206 b=5.0206 c=3.9849 alpha=90.00 beta=90.00 gamma=90.00
With the nearest neighbours (Å) after each atom.
Sites, in units of the cell vectors:
Cd1 0.0000 0.0000 0.0000  2 O 1.99
P1 0.5000 0.0000 0.0000  2 Cd 2.51
P2 0.0000 0.5000 0.0000  2 Cd 2.51
O1 0.0000 0.0000 0.5000  2 Cd 1.99
Si1 0.5000 0.5000 0.5000  8 P 3.20, 4 O 3.55

## Properties
Uncorrected energy = -3.342 eV per atom
SG = P4/mmm
Density = 3.6 g/cm³
ΔE_f (raw) = 5.41 eV per formula unit

***

A plane-wave DFT calculation with PBE-GGA was carried out for an optimized crystal structure of CoPt4W.

Unit cell a=5.1156 b=5.4400 c=7.1855 alpha=67.76 beta=90.05 gamma=90.12
With the nearest neighbours (Å) after each atom.
Sites, in units of the cell vectors:
Pt1 0.2431 0.0680 0.3709  1 Co 2.59, 1 W 2.63, 4 Pt 2.68-2.79
Pt2 0.2569 0.5611 0.3709  1 Co 2.59, 1 W 2.63, 4 Pt 2.68-2.79
Pt3 0.0019 0.7520 0.0034  6 Pt 2.56-2.79, 2 W 2.69-2.72, 2 Co 2.69-2.72
Pt4 0.9981 0.2480 0.9966  6 Pt 2.56-2.79, 2 W 2.69-2.72, 2 Co 2.69-2.72
Pt5 0.7569 0.9320 0.6291  1 Co 2.59, 1 W 2.63, 4 Pt 2.68-2.79
Pt6 0.5019 0.7553 0.9966  6 Pt 2.56-2.79, 2 W 2.69-2.72, 2 Co 2.69-2.72
Pt7 0.4981 0.2447 0.0034  6 Pt 2.56-2.79, 2 W 2.69-2.72, 2 Co 2.69-2.72
Pt8 0.7431 0.4389 0.6291  1 Co 2.59, 1 W 2.63, 4 Pt 2.68-2.79
Co1 0.7500 0.8518 0.2964  6 Pt 2.59-2.72, 2 W 2.72
Co2 0.2500 0.1482 0.7036  6 Pt 2.59-2.72, 2 W 2.72
W1 0.2500 0.6460 0.7080  8 Pt 2.63-2.91, 2 Co 2.72
W2 0.7500 0.3540 0.2920  8 Pt 2.63-2.91, 2 Co 2.72

## Properties
Uncorrected energy = -7.442 eV per atom
SG = C2/c
Density = 18.4 g/cm³

***

A plane-wave DFT calculation with PBE-GGA was carried out for an optimized crystal structure of Ce3FeSi.

Unit cell a=5.3973 b=4.4621 c=15.0982 alpha=58.86 beta=90.03 gamma=127.24
With the nearest neighbours (Å) after each atom.
Sites, in units of the cell vectors:
Ce1 0.1483 0.2971 0.5663  3 Ce 2.85-3.10, 4 Si 2.97-3.14
Ce2 0.7936 0.5877 0.9104  1 Fe 2.14
Ce3 0.2064 0.4123 0.0896  1 Fe 2.14
Ce4 0.3665 0.7324 0.2366  1 Fe 2.82, 2 Ce 2.85-3.08, 3 Si 2.88-2.98
Ce5 0.6335 0.2676 0.7634  1 Fe 2.82, 2 Ce 2.85-3.08, 3 Si 2.88-2.98
Ce6 0.8517 0.7029 0.4337  3 Ce 2.85-3.10, 4 Si 2.97-3.14
Si1 0.3634 0.7275 0.6813  1 Fe 2.47
Si2 0.6366 0.2725 0.3187  1 Fe 2.47
Fe1 0.1166 0.2335 0.8944  1 Ce 2.14
Fe2 0.8834 0.7665 0.1056  1 Ce 2.14

## Properties
Uncorrected energy = -6.615 eV per atom
SG = C2/m
Density = 7.6 g/cm³
ΔE_f (raw) = -1.39 eV per formula unit

***

A plane-wave DFT calculation with PBE-GGA was carried out for an optimized crystal structure of Pm3GaPb2.

Unit cell a=4.5480 b=12.2832 c=12.7476 alpha=90.00 beta=90.00 gamma=90.00
With the nearest neighbours (Å) after each atom.
Sites, in units of the cell vectors:
Pm1 0.2500 0.1221 0.5533  1 Ga 3.15, 5 Pb 3.19-3.43
Pm2 0.2500 0.7944 0.7254  2 Ga 3.06, 1 Pb 3.15
Pm3 0.2500 0.0541 0.8776  3 Ga 3.24-3.36, 5 Pb 3.26-3.41
Pm4 0.7500 0.2056 0.2746  2 Ga 3.06, 1 Pb 3.15
Pm5 0.2500 0.3779 0.0533  1 Ga 3.15, 5 Pb 3.19-3.43
Pm6 0.7500 0.5541 0.6224  3 Ga 3.24-3.36, 5 Pb 3.26-3.41
Pm7 0.2500 0.4459 0.3776  3 Ga 3.24-3.36, 5 Pb 3.26-3.41
Pm8 0.7500 0.8779 0.4467  1 Ga 3.15, 5 Pb 3.19-3.43
Pm9 0.7500 0.9459 0.1224  3 Ga 3.24-3.36, 5 Pb 3.26-3.41
Pm10 0.7500 0.2944 0.7746  2 Ga 3.06, 1 Pb 3.15
Pm11 0.2500 0.7056 0.2254  2 Ga 3.06, 1 Pb 3.15
Pm12 0.7500 0.6221 0.9467  1 Ga 3.15, 5 Pb 3.19-3.43
Ga1 0.7500 0.6337 0.3702  3 Pb 2.89, 3 Pm 3.06-3.15
Ga2 0.2500 0.3663 0.6298  3 Pb 2.89, 3 Pm 3.06-3.15
Ga3 0.7500 0.8663 0.8702  3 Pb 2.89, 3 Pm 3.06-3.15
Ga4 0.2500 0.1337 0.1298  3 Pb 2.89, 3 Pm 3.06-3.15
Pb1 0.7500 0.4956 0.1868  1 Ga 2.89, 2 Pm 3.19
Pb2 0.2500 0.6937 0.4979  2 Ga 2.89, 1 Pm 3.15
Pb3 0.2500 0.9956 0.3132  1 Ga 2.89, 2 Pm 3.19
Pb4 0.2500 0.8063 0.9979  2 Ga 2.89, 1 Pm 3.15
Pb5 0.2500 0.5044 0.8132  1 Ga 2.89, 2 Pm 3.19
Pb6 0.7500 0.3063 0.5021  2 Ga 2.89, 1 Pm 3.15
Pb7 0.7500 0.1937 0.0021  2 Ga 2.89, 1 Pm 3.15
Pb8 0.7500 0.0044 0.6868  1 Ga 2.89, 2 Pm 3.19

## Properties
Uncorrected energy = -4.643 eV per atom
SG = Pnma
Density = 8.6 g/cm³

***

A plane-wave DFT calculation with PBE-GGA was carried out for an optimized crystal structure of Rh2AuI.

Unit cell a=7.2973 b=7.2973 c=5.9020 alpha=51.81 beta=51.81 gamma=90.00
With the nearest neighbours (Å) after each atom.
Sites, in units of the cell vectors:
Au1 0.0000 0.0000 0.0000  4 Rh 2.77, 2 I 2.86
Au2 0.7500 0.2500 0.5000  4 Rh 2.77, 2 I 2.86
Rh1 0.8750 0.8569 0.7500  2 I 2.59, 2 Au 2.77, 2 Rh 2.88
Rh2 0.3750 0.3931 0.7500  2 I 2.59, 2 Au 2.77, 2 Rh 2.88
Rh3 0.1431 0.6250 0.2500  2 I 2.59, 2 Au 2.77, 2 Rh 2.88
Rh4 0.6069 0.1250 0.2500  2 I 2.59, 2 Au 2.77, 2 Rh 2.88
I1 0.2500 0.7500 0.5000  4 Rh 2.59, 2 Au 2.86
I2 0.5000 0.5000 0.0000  4 Rh 2.59, 2 Au 2.86

## Properties
Uncorrected energy = -4.289 eV per atom
SG = I-42d
Density = 11.5 g/cm³
ΔE_f (raw) = 2.37 eV per formula unit

***

A plane-wave DFT calculation with PBE-GGA was carried out for an optimized crystal structure of Tm2Pu3TaN6.

Unit cell a=5.8527 b=5.8527 c=5.8596 alpha=99.57 beta=99.57 gamma=119.94
With the nearest neighbours (Å) after each atom.
Sites, in units of the cell vectors:
Pu1 0.5000 0.5000 0.5000  6 N 2.40-2.53
Pu2 0.8320 0.1680 0.5000  6 N 2.40-2.54
Pu3 0.1680 0.8320 0.5000  6 N 2.40-2.54
N1 0.0773 0.3889 0.2318  1 Ta 2.23, 2 Tm 2.39, 2 Pu 2.40
N2 0.9227 0.6111 0.7682  1 Ta 2.23, 2 Tm 2.39, 2 Pu 2.40
N3 0.7660 0.7660 0.2359  1 Ta 2.25, 2 Tm 2.40, 2 Pu 2.40
N4 0.3889 0.0773 0.2318  1 Ta 2.23, 2 Tm 2.39, 2 Pu 2.40
N5 0.2340 0.2340 0.7641  1 Ta 2.25, 2 Tm 2.40, 2 Pu 2.40
N6 0.6111 0.9227 0.7682  1 Ta 2.23, 2 Tm 2.39, 2 Pu 2.40
Tm1 0.6666 0.3334 0.0000  6 N 2.39-2.40
Tm2 0.3334 0.6666 0.0000  6 N 2.39-2.40
Ta1 0.0000 0.0000 0.0000  6 N 2.23-2.25

## Properties
Uncorrected energy = -10.911 eV per atom
SG = C2/m
Density = 13.5 g/cm³
ΔE_f (raw) = -17.18 eV per formula unit

***

A plane-wave DFT calculation with PBE-GGA was carried out for an optimized crystal structure of CsMg2InPb4.

Unit cell a=5.4620 b=5.4620 c=11.3173 alpha=76.04 beta=76.04 gamma=60.00
With the nearest neighbours (Å) after each atom.
Sites, in units of the cell vectors:
Pb1 0.4102 0.4102 0.7693  1 In 2.93
Pb2 0.5898 0.5898 0.2307  1 In 2.93
Pb3 0.1260 0.1260 0.6221  4 Mg 3.22-3.30, 3 In 3.42, 3 Pb 3.54
Pb4 0.8740 0.8740 0.3779  4 Mg 3.22-3.30, 3 In 3.42, 3 Pb 3.54
Cs1 0.0000 0.0000 0.0000  8 Pb 4.03-4.11
Mg1 0.2271 0.2271 0.3188  7 Pb 3.22-3.30
Mg2 0.7729 0.7729 0.6812  7 Pb 3.22-3.30
In1 0.5000 0.5000 0.5000  2 Pb 2.93

## Properties
Uncorrected energy = -2.731 eV per atom
SG = R-3m
Density = 6.7 g/cm³

***

A plane-wave DFT calculation with PBE-GGA was carried out for an optimized crystal structure of Ge2OsPd.

Unit cell a=3.9732 b=3.9732 c=5.4231 alpha=68.51 beta=68.51 gamma=60.00
With the nearest neighbours (Å) after each atom.
Sites, in units of the cell vectors:
Ge1 0.0705 0.0705 0.7884  3 Os 2.44, 3 Pd 2.61
Ge2 0.2601 0.2601 0.2197  3 Os 2.63, 3 Pd 2.76, 1 Ge 2.79
Os1 0.6804 0.6804 0.9589  6 Ge 2.44-2.63
Pd1 0.4890 0.4890 0.5330  6 Ge 2.61-2.76, 1 Os 2.82

## Properties
Uncorrected energy = -6.394 eV per atom
SG = R3m
Density = 10.9 g/cm³